(1)
RbLiPrBr5: optimized geometry, PBE.

Cell and atoms, written as POSCAR:
```
RbLiPrBr5
1.0
-3.1510 -2.7167 6.9484
-0.3003 -6.0940 -5.3256
10.6740 0.9752 2.2108
Br Li Rb Pr
10 2 2 2
Direct
0.9168 0.0832 0.7500
0.0832 0.9168 0.2500
0.6195 0.7537 0.9244
0.0922 0.6882 0.8871
0.6882 0.0922 0.3871
0.9078 0.3118 0.1129
0.3805 0.2463 0.0756
0.2463 0.3805 0.5756
0.7537 0.6195 0.4244
0.3118 0.9078 0.6129
0.6911 0.3089 0.2500
0.3089 0.6911 0.7500
0.3492 0.6508 0.2500
0.6508 0.3492 0.7500
0.0000 0.0000 0.5000
0.0000 0.0000 0.0000
```

Calculated values
The total energy is -60.3 eV/cell. The calculation puts the formation energy (no corrections) at -1.77 eV per atom. The space-group type is C2/c (15). The volume comes out at 628.7 Å³/cell.

(2)
LiPr6Ru2Br3: optimized geometry, PBE.

Cell and atoms, written as POSCAR:
```
LiPr6Ru2Br3
1.0
7.2339 -0.0025 0.0018
-3.6174 6.2645 0.0018
-1.2042 -2.0851 8.0563
Ru Pr Br Li
2 6 3 1
Direct
0.3332 0.6668 0.0000
0.6668 0.3332 0.0000
0.4349 0.0680 0.2038
0.7000 0.7000 0.2025
0.5651 0.9320 0.7962
0.9320 0.5651 0.7962
0.3000 0.3000 0.7975
0.0680 0.4349 0.2038
0.1673 0.8327 0.5000
0.8327 0.1673 0.5000
0.5000 0.5000 0.5000
0.0000 0.0000 0.0000
```

Calculated values
The total energy is -62.7 eV/cell. The calculation puts the formation energy (no corrections) at -0.71 eV per atom. The space-group type is C2/m (12). The volume comes out at 365.1 Å³/cell.

Q: Which value of formation energy (no corrections) does entry 2 give?
A: -0.71 eV per atom

Repeat the first record exactly.
RbLiPrBr5: optimized geometry, PBE.

Cell and atoms, written as POSCAR:
```
RbLiPrBr5
1.0
-3.1510 -2.7167 6.9484
-0.3003 -6.0940 -5.3256
10.6740 0.9752 2.2108
Br Li Rb Pr
10 2 2 2
Direct
0.9168 0.0832 0.7500
0.0832 0.9168 0.2500
0.6195 0.7537 0.9244
0.0922 0.6882 0.8871
0.6882 0.0922 0.3871
0.9078 0.3118 0.1129
0.3805 0.2463 0.0756
0.2463 0.3805 0.5756
0.7537 0.6195 0.4244
0.3118 0.9078 0.6129
0.6911 0.3089 0.2500
0.3089 0.6911 0.7500
0.3492 0.6508 0.2500
0.6508 0.3492 0.7500
0.0000 0.0000 0.5000
0.0000 0.0000 0.0000
```

Calculated values
The total energy is -60.3 eV/cell. The calculation puts the formation energy (no corrections) at -1.77 eV per atom. The space-group type is C2/c (15). The volume comes out at 628.7 Å³/cell.